This record from Alexandria describes a relaxed structure of SrOs2Br. The functional is GGA-PBE.

Computed properties:
- crystal system = monoclinic
- ΔE_f (raw) (eV per atom) = 0.23

Unit cell a=3.595 b=3.162 c=8.170 alpha=78.76 beta=90.00 gamma=90.00
Atoms (fractional coordinates):
Os 0.000 0.772 0.084
Br 0.500 0.946 0.731
Sr 0.000 0.566 0.491
Os 0.500 0.216 0.195